Record 1
A relaxed structure of BaTc, computed with PBE.

Summary:
Crystal system   monoclinic
ΔH_f (0 K)   0.6618 eV/atom
VASP energy   -32.9 eV per cell
Distance to the lowest polymorph of the same formula   0.341 eV per atom
Magnetization   0.000 μB per formula unit
DOS at the Fermi energy   8.41 states/eV per cell

Cell: 7.507 7.507 8.016 Å, 62.58 62.58 29.92°
Sites, in units of the cell vectors:
Ba 0.088 0.088 0.920
Ba 0.337 0.337 0.330
Ba 0.375 0.375 0.772
Tc 0.628 0.628 0.541
Tc 0.074 0.074 0.394
Tc 0.664 0.664 0.210

---

Record 2
A relaxed structure of Ba5Tc, computed with PBE.

Summary:
Crystal system   orthorhombic
ΔH_f (0 K)   0.5524 eV/atom
VASP energy   -16.7 eV per cell
Distance to the lowest polymorph of the same formula   0.115 eV per atom
Magnetization   1.577 μB per formula unit
DOS at the Fermi energy   8.29 states/eV per cell

Cell: 9.058 9.058 6.391 Å, 90.00 90.00 147.16°
Sites, in units of the cell vectors:
Ba 0.342 0.658 0.500
Ba 0.126 0.874 0.000
Ba 0.000 0.000 0.500
Ba 0.874 0.126 0.000
Ba 0.658 0.342 0.500
Tc 0.500 0.500 0.000

---

Record 3
A relaxed structure of Ba3Tc, computed with PBE.

Summary:
Crystal system   cubic
ΔH_f (0 K)   0.8493 eV/atom
VASP energy   -12.7 eV per cell
Distance to the lowest polymorph of the same formula   0.500 eV per atom
Magnetization   1.393 μB per formula unit
DOS at the Fermi energy   6.05 states/eV per cell

Cell: 5.411 5.411 5.407 Å, 90.00 90.00 89.98°
Sites, in units of the cell vectors:
Ba 0.000 0.500 0.500
Ba 0.500 0.000 0.500
Ba 0.500 0.500 0.000
Tc 0.000 0.000 0.000

---

Record 4
A relaxed structure of BaTc, computed with PBE.

Summary:
Crystal system   cubic
ΔH_f (0 K)   1.4178 eV/atom
VASP energy   -9.5 eV per cell
Distance to the lowest polymorph of the same formula   1.097 eV per atom
Magnetization   2.331 μB per formula unit
DOS at the Fermi energy   2.04 states/eV per cell

Cell: 3.852 3.852 3.852 Å, 90.00 90.00 90.00°
Sites, in units of the cell vectors:
Ba 0.000 0.000 0.000
Tc 0.500 0.500 0.500

---

Record 5
A relaxed structure of Ba3Tc, computed with PBE.

Summary:
Crystal system   trigonal
ΔH_f (0 K)   0.7648 eV/atom
VASP energy   -13.1 eV per cell
Distance to the lowest polymorph of the same formula   0.416 eV per atom
Magnetization   2.373 μB per formula unit
DOS at the Fermi energy   7.22 states/eV per cell

Cell: 11.998 11.998 11.998 Å, 21.16 21.16 21.16°
Sites, in units of the cell vectors:
Ba 0.723 0.723 0.723
Ba 0.500 0.500 0.500
Ba 0.277 0.277 0.277
Tc 0.000 0.000 0.000

---

Record 6
A relaxed structure of Ba2Tc, computed with PBE.

Summary:
Crystal system   monoclinic
ΔH_f (0 K)   0.5455 eV/atom
VASP energy   -25.1 eV per cell
Distance to the lowest polymorph of the same formula   0.209 eV per atom
Magnetization   0.000 μB per formula unit
DOS at the Fermi energy   6.12 states/eV per cell

Cell: 9.342 9.342 7.230 Å, 70.89 70.89 23.25°
Sites, in units of the cell vectors:
Ba 0.850 0.850 0.128
Ba 0.104 0.104 0.414
Ba 0.150 0.150 0.872
Ba 0.896 0.896 0.586
Tc 0.500 0.500 0.849
Tc 0.500 0.500 0.151

---

Record 7
A relaxed structure of BaTc3, computed with PBE.

Summary:
Crystal system   cubic
ΔH_f (0 K)   1.1811 eV/atom
VASP energy   -28.3 eV per cell
Distance to the lowest polymorph of the same formula   0.589 eV per atom
Magnetization   0.000 μB per formula unit
DOS at the Fermi energy   2.32 states/eV per cell

Cell: 4.710 4.710 4.710 Å, 60.00 60.00 60.00°
Sites, in units of the cell vectors:
Ba 0.000 0.000 0.000
Tc 0.750 0.750 0.750
Tc 0.500 0.500 0.500
Tc 0.250 0.250 0.250

---

Record 8
A relaxed structure of BaTc3, computed with PBE.

Summary:
Crystal system   monoclinic
ΔH_f (0 K)   0.7225 eV/atom
VASP energy   -30.1 eV per cell
Distance to the lowest polymorph of the same formula   0.131 eV per atom
Magnetization   0.000 μB per formula unit
DOS at the Fermi energy   4.49 states/eV per cell

Cell: 4.902 4.902 6.395 Å, 76.96 76.96 37.36°
Sites, in units of the cell vectors:
Ba 0.000 0.000 0.000
Tc 0.500 0.500 0.500
Tc 0.786 0.786 0.632
Tc 0.214 0.214 0.368